Density functional theory data (PBE) for a geometry-optimized Hf2Zr8Sn3 structure.

a = 5.844 Å, b = 5.844 Å, c = 11.158 Å
α = 74.82°, β = 74.82°, γ = 60.00°
Fractional coordinates of all 13 atoms:
Zr  0.282  0.771  0.665
Zr  0.718  0.229  0.335
Zr  0.229  0.718  0.335
Zr  0.279  0.279  0.163
Zr  0.721  0.721  0.837
Zr  0.771  0.282  0.665
Zr  0.718  0.718  0.335
Zr  0.282  0.282  0.665
Sn  0.190  0.190  0.430
Sn  0.810  0.810  0.570
Sn  0.000  0.000  0.000
Hf  0.366  0.366  0.902
Hf  0.634  0.634  0.098

Output
density of states at the Fermi level = 18.6 states/eV/cell
SG = R-3m
energy of formation from the pure elements = 110 meV/atom

Density functional theory data (PBE) for a geometry-optimized Tc3Mo3N structure.

a = 8.209 Å, b = 8.209 Å, c = 8.209 Å
α = 60.00°, β = 60.00°, γ = 60.00°
Fractional coordinates of all 28 atoms:
Tc  0.836  0.836  0.836
Tc  0.414  0.414  0.414
Tc  0.757  0.414  0.414
Tc  0.836  0.493  0.836
Tc  0.414  0.414  0.757
Tc  0.836  0.836  0.493
Tc  0.125  0.625  0.625
Tc  0.625  0.625  0.625
Tc  0.625  0.125  0.625
Tc  0.493  0.836  0.836
Tc  0.625  0.625  0.125
Tc  0.414  0.757  0.414
N  0.625  0.125  0.125
N  0.125  0.625  0.125
N  0.125  0.125  0.125
N  0.125  0.125  0.625
Mo  0.441  0.059  0.059
Mo  0.809  0.191  0.191
Mo  0.809  0.809  0.191
Mo  0.441  0.441  0.059
Mo  0.059  0.441  0.059
Mo  0.809  0.191  0.809
Mo  0.441  0.059  0.441
Mo  0.191  0.191  0.809
Mo  0.059  0.441  0.441
Mo  0.191  0.809  0.191
Mo  0.059  0.059  0.441
Mo  0.191  0.809  0.809

Output
density of states at the Fermi level = 20.3 states/eV/cell
SG = Fd-3m
raw formation energy = -0.04 eV per formula unit

Density functional theory data (PBE) for a geometry-optimized Ba4PtCl structure.

a = 7.047 Å, b = 7.047 Å, c = 7.047 Å
α = 60.00°, β = 60.00°, γ = 60.00°
Fractional coordinates of all 6 atoms:
Ba  0.876  0.375  0.375
Ba  0.375  0.375  0.876
Ba  0.375  0.876  0.375
Ba  0.375  0.375  0.375
Pt  0.000  0.000  0.000
Cl  0.750  0.750  0.750

Output
density of states at the Fermi level = 7.3 states/eV/cell
SG = F-43m
raw formation energy = 1.26 eV per formula unit
energy relative to the lowest polymorph listed for this composition = 1027 meV/atom